DFT (PBE) results for SrCaPmCd after structural relaxation.

Computed properties:
- space group = No. 216
- energy (eV/atom) = -2.333
- energy relative to the elements (meV per atom) = 5
- D(E_F) (states/eV/cell) = 6.29

abc: 5.808 5.808 5.808
angles: 60.00 60.00 60.00
Fractional positions:
Sr1 0.000 0.000 0.000
Ca1 0.250 0.250 0.250
Pm1 0.500 0.500 0.500
Cd1 0.750 0.750 0.750